[1]
# P2OsPb2, single point on PBEsol structure, DFT meta-GGA SCAN
data_P2OsPb2
_cell_length_a 5.838
_cell_length_b 5.838
_cell_length_c 6.467
_cell_angle_alpha 90.00
_cell_angle_beta 90.00
_cell_angle_gamma 90.00
_symmetry_space_group_name_H-M 'I 4/m m m'
_symmetry_Int_Tables_number 139
_symmetry_space_group_name_Hall '-I 4 2'
loop_
_atom_site_label
_atom_site_type_symbol
_atom_site_fract_x
_atom_site_fract_y
_atom_site_fract_z
P1 P 0.000 0.000 0.157
Os1 Os 0.000 0.000 0.500
Pb1 Pb 0.000 0.500 0.250
# - formation enthalpy at 0 K (eV per atom) = 0.723
# - density of states at the Fermi level (states/eV/f.u.) = 3.67
# - calculated volume (Å³ per cell) = 220.38


[2]
# POsPbS2, single point on PBEsol structure, DFT meta-GGA SCAN
data_POsPbS2
_cell_length_a 4.940
_cell_length_b 4.940
_cell_length_c 5.126
_cell_angle_alpha 90.00
_cell_angle_beta 90.00
_cell_angle_gamma 90.00
_symmetry_space_group_name_H-M 'P 4/m m m'
_symmetry_Int_Tables_number 123
_symmetry_space_group_name_Hall '-P 4 2'
loop_
_atom_site_label
_atom_site_type_symbol
_atom_site_fract_x
_atom_site_fract_y
_atom_site_fract_z
P1 P 0.000 0.000 0.000
Os1 Os 0.500 0.500 0.000
Pb1 Pb 0.000 0.000 0.500
S1 S 0.000 0.500 0.500
# - formation energy (no corrections) (eV per formula unit) = 10.4
# - density of states at the Fermi level (states/eV/f.u.) = 4.55
# - calculated volume (Å³ per cell) = 125.07


[3]
# P3OsPd, single point on PBEsol structure, DFT meta-GGA SCAN
data_P3OsPd
_cell_length_a 4.527
_cell_length_b 4.527
_cell_length_c 4.527
_cell_angle_alpha 90.00
_cell_angle_beta 90.00
_cell_angle_gamma 90.00
_symmetry_space_group_name_H-M 'P m -3 m'
_symmetry_Int_Tables_number 221
_symmetry_space_group_name_Hall '-P 4 2 3'
loop_
_atom_site_label
_atom_site_type_symbol
_atom_site_fract_x
_atom_site_fract_y
_atom_site_fract_z
P1 P 0.000 0.000 0.500
Os1 Os 0.000 0.000 0.000
Pd1 Pd 0.500 0.500 0.500
# - formation enthalpy at 0 K (eV per atom) = 0.934
# - density of states at the Fermi level (states/eV/f.u.) = 6.06
# - calculated volume (Å³ per cell) = 92.77


[4]
# PrP12Os4, single point on PBEsol structure, DFT meta-GGA SCAN
data_PrP12Os4
_cell_length_a 8.059
_cell_length_b 8.059
_cell_length_c 8.059
_cell_angle_alpha 90.00
_cell_angle_beta 90.00
_cell_angle_gamma 90.00
_symmetry_space_group_name_H-M 'I m -3'
_symmetry_Int_Tables_number 204
_symmetry_space_group_name_Hall '-I 2 2 3'
loop_
_atom_site_label
_atom_site_type_symbol
_atom_site_fract_x
_atom_site_fract_y
_atom_site_fract_z
Pr1 Pr 0.000 0.000 0.000
P1 P 0.000 0.357 0.144
Os1 Os 0.250 0.250 0.250
# - formation enthalpy at 0 K (eV per atom) = -0.692
# - density of states at the Fermi level (states/eV/f.u.) = 3.88
# - calculated volume (Å³ per cell) = 523.37


[5]
# POsPt3, single point on PBEsol structure, DFT meta-GGA SCAN
data_POsPt3
_cell_length_a 4.381
_cell_length_b 4.381
_cell_length_c 4.381
_cell_angle_alpha 90.00
_cell_angle_beta 90.00
_cell_angle_gamma 90.00
_symmetry_space_group_name_H-M 'P m -3 m'
_symmetry_Int_Tables_number 221
_symmetry_space_group_name_Hall '-P 4 2 3'
loop_
_atom_site_label
_atom_site_type_symbol
_atom_site_fract_x
_atom_site_fract_y
_atom_site_fract_z
P1 P 0.000 0.000 0.000
Os1 Os 0.500 0.500 0.500
Pt1 Pt 0.000 0.000 0.500
# - formation enthalpy at 0 K (eV per atom) = 0.899
# - density of states at the Fermi level (states/eV/f.u.) = 3.36
# - calculated volume (Å³ per cell) = 84.08


[6]
# POsPt2, single point on PBEsol structure, DFT meta-GGA SCAN
data_POsPt2
_cell_length_a 2.793
_cell_length_b 4.846
_cell_length_c 8.579
_cell_angle_alpha 90.00
_cell_angle_beta 90.00
_cell_angle_gamma 90.00
_symmetry_space_group_name_H-M 'C m m 2'
_symmetry_Int_Tables_number 35
loop_
_symmetry_equiv_pos_as_xyz
'x,y,z'
'-x,-y,z'
'-x,y,z'
'x,-y,z'
'x+1/2,y+1/2,z'
'-x+1/2,-y+1/2,z'
'-x+1/2,y+1/2,z'
'x+1/2,-y+1/2,z'
loop_
_atom_site_label
_atom_site_type_symbol
_atom_site_fract_x
_atom_site_fract_y
_atom_site_fract_z
P1 P 0.000 0.000 0.000
Os1 Os 0.000 0.500 0.788
Pt1 Pt 0.000 0.000 0.511
Pt2 Pt 0.000 0.500 0.231
# - formation enthalpy at 0 K (eV per atom) = 0.314
# - density of states at the Fermi level (states/eV/f.u.) = 3.15
# - calculated volume (Å³ per cell) = 116.09


[7]
# POsPt2, single point on PBEsol structure, DFT meta-GGA SCAN
data_POsPt2
_cell_length_a 2.948
_cell_length_b 4.219
_cell_length_c 9.195
_cell_angle_alpha 90.00
_cell_angle_beta 90.00
_cell_angle_gamma 90.00
_symmetry_space_group_name_H-M 'I m m 2'
_symmetry_Int_Tables_number 44
loop_
_symmetry_equiv_pos_as_xyz
'x,y,z'
'-x,-y,z'
'-x,y,z'
'x,-y,z'
'x+1/2,y+1/2,z+1/2'
'-x+1/2,-y+1/2,z+1/2'
'-x+1/2,y+1/2,z+1/2'
'x+1/2,-y+1/2,z+1/2'
loop_
_atom_site_label
_atom_site_type_symbol
_atom_site_fract_x
_atom_site_fract_y
_atom_site_fract_z
P1 P 0.000 0.000 0.000
Os1 Os 0.000 0.500 0.306
Pt1 Pt 0.000 0.000 0.511
Pt2 Pt 0.000 0.500 0.705
# - formation enthalpy at 0 K (eV per atom) = 0.109
# - density of states at the Fermi level (states/eV/f.u.) = 2.94
# - calculated volume (Å³ per cell) = 114.36


[8]
# POsPt, single point on PBEsol structure, DFT meta-GGA SCAN
data_POsPt
_cell_length_a 5.805
_cell_length_b 5.805
_cell_length_c 5.805
_cell_angle_alpha 90.00
_cell_angle_beta 90.00
_cell_angle_gamma 90.00
_symmetry_space_group_name_H-M 'F -4 3 m'
_symmetry_Int_Tables_number 216
_symmetry_space_group_name_Hall 'F -4 2 3'
loop_
_atom_site_label
_atom_site_type_symbol
_atom_site_fract_x
_atom_site_fract_y
_atom_site_fract_z
P1 P 0.000 0.000 0.000
Os1 Os 0.250 0.250 0.750
Pt1 Pt 0.000 0.000 0.500
# - E above lowest polymorph (meV per atom) = 25
# - formation enthalpy at 0 K (eV per atom) = 0.200
# - density of states at the Fermi level (states/eV/f.u.) = 1.95
# - calculated volume (Å³ per cell) = 195.58


[9]
# POsPt, single point on PBEsol structure, DFT meta-GGA SCAN
data_POsPt
_cell_length_a 2.905
_cell_length_b 2.905
_cell_length_c 9.765
_cell_angle_alpha 90.00
_cell_angle_beta 90.00
_cell_angle_gamma 90.00
_symmetry_space_group_name_H-M 'I 4 m m'
_symmetry_Int_Tables_number 107
_symmetry_space_group_name_Hall 'I 4 -2'
loop_
_atom_site_label
_atom_site_type_symbol
_atom_site_fract_x
_atom_site_fract_y
_atom_site_fract_z
P1 P 0.000 0.000 0.000
Os1 Os 0.000 0.000 0.375
Pt1 Pt 0.000 0.000 0.666
# - E above lowest polymorph (meV per atom) = 0
# - formation enthalpy at 0 K (eV per atom) = 0.175
# - density of states at the Fermi level (states/eV/f.u.) = 2.34
# - calculated volume (Å³ per cell) = 82.41


[10]
# RbP3Os, single point on PBEsol structure, DFT meta-GGA SCAN
data_RbP3Os
_cell_length_a 4.851
_cell_length_b 4.851
_cell_length_c 4.851
_cell_angle_alpha 90.00
_cell_angle_beta 90.00
_cell_angle_gamma 90.00
_symmetry_space_group_name_H-M 'P m -3 m'
_symmetry_Int_Tables_number 221
_symmetry_space_group_name_Hall '-P 4 2 3'
loop_
_atom_site_label
_atom_site_type_symbol
_atom_site_fract_x
_atom_site_fract_y
_atom_site_fract_z
Rb1 Rb 0.000 0.000 0.000
P1 P 0.000 0.000 0.500
Os1 Os 0.500 0.500 0.500
# - formation enthalpy at 0 K (eV per atom) = 3.385
# - density of states at the Fermi level (states/eV/f.u.) = 2.99
# - calculated volume (Å³ per cell) = 114.15


[11]
# RbPOsS2, single point on PBEsol structure, DFT meta-GGA SCAN
data_RbPOsS2
_cell_length_a 4.909
_cell_length_b 4.909
_cell_length_c 4.448
_cell_angle_alpha 90.00
_cell_angle_beta 90.00
_cell_angle_gamma 90.00
_symmetry_space_group_name_H-M 'P 4/m m m'
_symmetry_Int_Tables_number 123
_symmetry_space_group_name_Hall '-P 4 2'
loop_
_atom_site_label
_atom_site_type_symbol
_atom_site_fract_x
_atom_site_fract_y
_atom_site_fract_z
Rb1 Rb 0.000 0.000 0.000
P1 P 0.500 0.500 0.000
Os1 Os 0.500 0.500 0.500
S1 S 0.000 0.500 0.500
# - formation energy (no corrections) (eV per formula unit) = 0.3
# - density of states at the Fermi level (states/eV/f.u.) = 5.67
# - calculated volume (Å³ per cell) = 107.18


[12]
# RbYPOs2, single point on PBEsol structure, DFT meta-GGA SCAN
data_RbYPOs2
_cell_length_a 4.463
_cell_length_b 4.463
_cell_length_c 5.222
_cell_angle_alpha 90.00
_cell_angle_beta 90.00
_cell_angle_gamma 90.00
_symmetry_space_group_name_H-M 'P 4/m m m'
_symmetry_Int_Tables_number 123
_symmetry_space_group_name_Hall '-P 4 2'
loop_
_atom_site_label
_atom_site_type_symbol
_atom_site_fract_x
_atom_site_fract_y
_atom_site_fract_z
Rb1 Rb 0.000 0.000 0.000
Y1 Y 0.500 0.500 0.000
P1 P 0.500 0.500 0.500
Os1 Os 0.000 0.500 0.500
# - formation enthalpy at 0 K (eV per atom) = 0.611
# - density of states at the Fermi level (states/eV/f.u.) = 3.75
# - calculated volume (Å³ per cell) = 104.01


[13]
# RePOs3, single point on PBEsol structure, DFT meta-GGA SCAN
data_RePOs3
_cell_length_a 4.650
_cell_length_b 4.650
_cell_length_c 4.650
_cell_angle_alpha 90.00
_cell_angle_beta 90.00
_cell_angle_gamma 90.00
_symmetry_space_group_name_H-M 'P m -3 m'
_symmetry_Int_Tables_number 221
_symmetry_space_group_name_Hall '-P 4 2 3'
loop_
_atom_site_label
_atom_site_type_symbol
_atom_site_fract_x
_atom_site_fract_y
_atom_site_fract_z
Re1 Re 0.000 0.000 0.000
P1 P 0.500 0.500 0.500
Os1 Os 0.000 0.000 0.500
# - formation enthalpy at 0 K (eV per atom) = 2.698
# - density of states at the Fermi level (states/eV/f.u.) = 7.28
# - calculated volume (Å³ per cell) = 100.56


[14]
# ReP2Os, single point on PBEsol structure, DFT meta-GGA SCAN
data_ReP2Os
_cell_length_a 2.907
_cell_length_b 4.003
_cell_length_c 9.182
_cell_angle_alpha 90.00
_cell_angle_beta 90.00
_cell_angle_gamma 90.00
_symmetry_space_group_name_H-M 'I m m 2'
_symmetry_Int_Tables_number 44
loop_
_symmetry_equiv_pos_as_xyz
'x,y,z'
'-x,-y,z'
'-x,y,z'
'x,-y,z'
'x+1/2,y+1/2,z+1/2'
'-x+1/2,-y+1/2,z+1/2'
'-x+1/2,y+1/2,z+1/2'
'x+1/2,-y+1/2,z+1/2'
loop_
_atom_site_label
_atom_site_type_symbol
_atom_site_fract_x
_atom_site_fract_y
_atom_site_fract_z
Re1 Re 0.000 0.000 0.000
P1 P 0.000 0.000 0.497
P2 P 0.000 0.500 0.273
Os1 Os 0.000 0.500 0.777
# - E above lowest polymorph (meV per atom) = 240
# - formation enthalpy at 0 K (eV per atom) = 0.270
# - density of states at the Fermi level (states/eV/f.u.) = 2.72
# - calculated volume (Å³ per cell) = 106.86


[15]
# ReP2Os, single point on PBEsol structure, DFT meta-GGA SCAN
data_ReP2Os
_cell_length_a 5.869
_cell_length_b 5.869
_cell_length_c 5.869
_cell_angle_alpha 90.00
_cell_angle_beta 90.00
_cell_angle_gamma 90.00
_symmetry_space_group_name_H-M 'F m -3 m'
_symmetry_Int_Tables_number 225
_symmetry_space_group_name_Hall '-F 4 2 3'
loop_
_atom_site_label
_atom_site_type_symbol
_atom_site_fract_x
_atom_site_fract_y
_atom_site_fract_z
Re1 Re 0.000 0.000 0.000
P1 P 0.250 0.250 0.250
Os1 Os 0.000 0.000 0.500
# - E above lowest polymorph (meV per atom) = 0
# - formation enthalpy at 0 K (eV per atom) = 0.030
# - density of states at the Fermi level (states/eV/f.u.) = 1.62
# - calculated volume (Å³ per cell) = 202.15


[16]
# P2OsRh, single point on PBEsol structure, DFT meta-GGA SCAN
data_P2OsRh
_cell_length_a 2.927
_cell_length_b 4.026
_cell_length_c 9.154
_cell_angle_alpha 90.00
_cell_angle_beta 90.00
_cell_angle_gamma 90.00
_symmetry_space_group_name_H-M 'I m m 2'
_symmetry_Int_Tables_number 44
loop_
_symmetry_equiv_pos_as_xyz
'x,y,z'
'-x,-y,z'
'-x,y,z'
'x,-y,z'
'x+1/2,y+1/2,z+1/2'
'-x+1/2,-y+1/2,z+1/2'
'-x+1/2,y+1/2,z+1/2'
'x+1/2,-y+1/2,z+1/2'
loop_
_atom_site_label
_atom_site_type_symbol
_atom_site_fract_x
_atom_site_fract_y
_atom_site_fract_z
P1 P 0.000 0.000 0.000
P2 P 0.000 0.500 0.224
Os1 Os 0.000 0.000 0.515
Rh1 Rh 0.000 0.500 0.726
# - E above lowest polymorph (meV per atom) = 506
# - formation enthalpy at 0 K (eV per atom) = 0.098
# - density of states at the Fermi level (states/eV/f.u.) = 2.13
# - calculated volume (Å³ per cell) = 107.89


[17]
# P2OsRh, single point on PBEsol structure, DFT meta-GGA SCAN
data_P2OsRh
_cell_length_a 7.460
_cell_length_b 2.906
_cell_length_c 5.313
_cell_angle_alpha 90.00
_cell_angle_beta 90.91
_cell_angle_gamma 90.00
_symmetry_space_group_name_H-M 'C 1 m 1'
_symmetry_Int_Tables_number 8
loop_
_symmetry_equiv_pos_as_xyz
'x,y,z'
'x,-y,z'
'x+1/2,y+1/2,z'
'x+1/2,-y+1/2,z'
loop_
_atom_site_label
_atom_site_type_symbol
_atom_site_fract_x
_atom_site_fract_y
_atom_site_fract_z
P1 P 0.000 0.000 0.000
P2 P 0.161 0.500 0.483
Os1 Os 0.278 0.000 0.185
Rh1 Rh 0.392 0.000 0.688
# - E above lowest polymorph (meV per atom) = 0
# - formation enthalpy at 0 K (eV per atom) = -0.407
# - density of states at the Fermi level (states/eV/f.u.) = 1.42
# - calculated volume (Å³ per cell) = 115.18


[18]
# P2OsRh, single point on PBEsol structure, DFT meta-GGA SCAN
data_P2OsRh
_cell_length_a 7.482
_cell_length_b 2.892
_cell_length_c 4.936
_cell_angle_alpha 90.00
_cell_angle_beta 102.36
_cell_angle_gamma 90.00
_symmetry_space_group_name_H-M 'C 1 2/m 1'
_symmetry_Int_Tables_number 12
loop_
_symmetry_equiv_pos_as_xyz
'x,y,z'
'-x,-y,-z'
'-x,y,-z'
'x,-y,z'
'x+1/2,y+1/2,z'
'-x+1/2,-y+1/2,-z'
'-x+1/2,y+1/2,-z'
'x+1/2,-y+1/2,z'
loop_
_atom_site_label
_atom_site_type_symbol
_atom_site_fract_x
_atom_site_fract_y
_atom_site_fract_z
P1 P 0.246 0.000 0.242
Os1 Os 0.000 0.500 0.000
Rh1 Rh 0.000 0.000 0.500
# - E above lowest polymorph (meV per atom) = 265
# - formation enthalpy at 0 K (eV per atom) = -0.142
# - density of states at the Fermi level (states/eV/f.u.) = 1.66
# - calculated volume (Å³ per cell) = 104.31


[19]
# P2OsRh, single point on PBEsol structure, DFT meta-GGA SCAN
data_P2OsRh
_cell_length_a 2.818
_cell_length_b 2.818
_cell_length_c 7.416
_cell_angle_alpha 90.00
_cell_angle_beta 90.00
_cell_angle_gamma 90.00
_symmetry_space_group_name_H-M 'P 4 m m'
_symmetry_Int_Tables_number 99
loop_
_symmetry_equiv_pos_as_xyz
'x,y,z'
'-y,x,z'
'-x,-y,z'
'y,-x,z'
'-x,y,z'
'y,x,z'
'x,-y,z'
'-y,-x,z'
loop_
_atom_site_label
_atom_site_type_symbol
_atom_site_fract_x
_atom_site_fract_y
_atom_site_fract_z
P1 P 0.000 0.000 0.000
P2 P 0.500 0.500 0.360
Os1 Os 0.500 0.500 0.819
Rh1 Rh 0.000 0.000 0.544
# - E above lowest polymorph (meV per atom) = 386
# - formation enthalpy at 0 K (eV per atom) = -0.021
# - density of states at the Fermi level (states/eV/f.u.) = 2.32
# - calculated volume (Å³ per cell) = 58.87


[20]
# POs2Rh, single point on PBEsol structure, DFT meta-GGA SCAN
data_POs2Rh
_cell_length_a 3.794
_cell_length_b 3.794
_cell_length_c 7.384
_cell_angle_alpha 90.00
_cell_angle_beta 90.00
_cell_angle_gamma 90.00
_symmetry_space_group_name_H-M 'I -4 m 2'
_symmetry_Int_Tables_number 119
_symmetry_space_group_name_Hall 'I -4 -2'
loop_
_atom_site_label
_atom_site_type_symbol
_atom_site_fract_x
_atom_site_fract_y
_atom_site_fract_z
P1 P 0.000 0.000 0.000
Os1 Os 0.000 0.000 0.500
Os2 Os 0.000 0.500 0.750
Rh1 Rh 0.000 0.500 0.250
# - formation enthalpy at 0 K (eV per atom) = 0.304
# - density of states at the Fermi level (states/eV/f.u.) = 1.64
# - calculated volume (Å³ per cell) = 106.30